Compound: Cs2BaMo2O7
Source: Alexandria
Functional: PBE with a Hubbard U
Structure: relaxed

a = 6.8266 Å, b = 6.8266 Å, c = 8.9601 Å
α = 67.61°, β = 67.61°, γ = 60.00°
Element x y z (fractional)
1 O 0.8112 0.2783 0.6875
2 O 0.7217 0.1888 0.3125
3 Mo 0.9209 0.9209 0.2372
4 Cs 0.7600 0.7600 0.7199
5 O 0.0000 0.0000 0.0000
6 O 0.2783 0.2230 0.6875
7 O 0.1888 0.7770 0.3125
8 Ba 0.5000 0.5000 0.5000
9 O 0.2230 0.8112 0.6875
10 Mo 0.0791 0.0791 0.7628
11 O 0.7770 0.7217 0.3125
12 Cs 0.2400 0.2400 0.2801

Results
VASP energy (eV per atom): -6.23
Magnetic moment (μB/atom): 0.17